(1)
Density functional theory data (PBE) for a relaxed LiCe3Ho2Se6 crystal.

As for the formation energy (no corrections): -1.743 eV/atom.

Cell: 7.0981 12.3016 7.1977 Å, 90.00 109.25 90.00°
Closest atoms and distances in Å follow each position.
Space group C2/m (No. 12)
Asymmetric unit:
Li 0.0000 0.0000 0.0000 [2 per cell]  6 Se 2.80-2.81
Ce 0.0000 0.1677 0.5000 [4 per cell]  6 Se 2.97-3.02
Ce 0.0000 0.5000 0.5000 [2 per cell]  6 Se 2.97-3.02
Ho 0.0000 0.3339 0.0000 [4 per cell]  6 Se 2.86-2.87
Se 0.2404 0.1633 0.2318 [8 per cell]  1 Li 2.80, 2 Ho 2.87, 3 Ce 2.97-3.02
Se 0.2488 0.0000 0.7672 [4 per cell]  1 Li 2.81, 2 Ho 2.86, 3 Ce 2.97-3.02

***

(2)
Density functional theory data (PBE) for a relaxed MgGaSnPd crystal.

Its formation energy is -0.25 eV per atom.

Cell: 6.7498 6.7498 6.7498 Å, 90.00 90.00 90.00°
Closest atoms and distances in Å follow each position.
Space group F-43m (No. 216)
Asymmetric unit:
Mg 0.0000 0.0000 0.0000 [4 per cell]  4 Pd 2.92, 4 Ga 2.92
Ga 0.2500 0.2500 0.2500 [4 per cell]  4 Sn 2.92, 4 Mg 2.92
Sn 0.0000 0.0000 0.5000 [4 per cell]  4 Ga 2.92, 4 Pd 2.92
Pd 0.2500 0.2500 0.7500 [4 per cell]  4 Sn 2.92, 4 Mg 2.92

***

(3)
Density functional theory data (PBE) for a relaxed ScVZn4 crystal.

Its formation energy is -0.17 eV per atom.

Cell: 7.2249 7.2249 7.2249 Å, 90.00 90.00 90.00°
Closest atoms and distances in Å follow each position.
Space group F-43m (No. 216)
Asymmetric unit:
Sc 0.0000 0.0000 0.0000 [4 per cell]  12 Zn 3.00, 4 V 3.13
V 0.2500 0.2500 0.7500 [4 per cell]  12 Zn 2.99, 4 Sc 3.13
Zn 0.1245 0.1245 0.3755 [16 per cell]  6 Zn 2.54-2.56

***

no.,uncorrected energy (eV per atom)
1,-5.891
2,-3.707
3,-3.597